{"formula": "SrCoCu2O4", "functional": "GGA+U", "state": "optimized geometry", "sg": "I222 (23)", "e_tot_ev_per_atom": -5.5684, "lattice": [[5.369, 0.000, 0.000], [2.685, 4.290, -0.669], [2.685, -0.190, 4.337]], "species": ["O", "Cu", "Sr", "Cu", "O", "O", "O", "Co"], "fractional_positions": [[0.616, 0.510, 0.868], [0.500, 0.268, 0.732], [0.000, 0.000, 0.000], [0.500, 0.732, 0.268], [0.384, 0.132, 0.490], [0.006, 0.868, 0.510], [0.994, 0.490, 0.132], [0.000, 0.500, 0.500]]}